Entry 1:
! MgFe2P (PBEsol, optimized geometry); values from VASP
! total energy	-25.403	eV per cell
! spin magnetization	3.2	μB/f.u.
! symmetry	P4/mmm
! formation energy from the elements	8	meV per atom
&SYSTEM
  ibrav = 0, nat = 4, ntyp = 3
/
ATOMIC_SPECIES
Mg 24.30 Mg.upf
Fe 55.84 Fe.upf
P 30.97 P.upf
CELL_PARAMETERS angstrom
3.628 0.000 0.000
0.000 3.628 0.000
0.000 0.000 3.600
ATOMIC_POSITIONS crystal
Mg 0.000 0.000 0.000
Fe 0.000 0.500 0.500
Fe 0.500 0.000 0.500
P 0.500 0.500 0.000



Entry 2:
! MgFeP2 (PBEsol, optimized geometry); values from VASP
! total energy	-22.101	eV per cell
! spin magnetization	1.5	μB/f.u.
! symmetry	Cmmm
! formation energy from the elements	41	meV per atom
&SYSTEM
  ibrav = 0, nat = 4, ntyp = 3
/
ATOMIC_SPECIES
Mg 24.30 Mg.upf
Fe 55.84 Fe.upf
P 30.97 P.upf
CELL_PARAMETERS angstrom
2.602 -3.296 0.000
2.602 3.296 0.000
0.000 0.000 3.109
ATOMIC_POSITIONS crystal
Mg 0.000 0.000 0.000
Fe 0.500 0.500 0.000
P 0.000 0.500 0.500
P 0.500 0.000 0.500



Entry 3:
! MgFePS2 (PBEsol, optimized geometry); values from VASP
! total energy	-25.158	eV per cell
! spin magnetization	1.3	μB/f.u.
! symmetry	P4/mmm
! formation energy from raw total energies	16	meV per atom
&SYSTEM
  ibrav = 0, nat = 5, ntyp = 4
/
ATOMIC_SPECIES
Mg 24.30 Mg.upf
Fe 55.84 Fe.upf
P 30.97 P.upf
S 32.06 S.upf
CELL_PARAMETERS angstrom
4.667 0.000 0.000
0.000 4.667 0.000
0.000 0.000 4.060
ATOMIC_POSITIONS crystal
Mg 0.000 0.000 0.000
Fe 0.500 0.500 0.500
P 0.500 0.500 0.000
S 0.000 0.500 0.500
S 0.500 0.000 0.500



Values for volume, Å³ per cell, ordered as above
47 53 88